# Pm3SmIr (PBE, relaxed)
# * final energy: -118.06 eV for the cell shown
# * energy relative to the lowest polymorph listed for this composition: 0 meV/atom
# * total magnetization: 0.000 μB per formula unit
# * calculated formation energy: -7.8 kcal/mol of atoms
data_Pm3SmIr
_space_group_name_H-M_alt 'C 1 2/m 1'
_space_group_IT_number 12
_cell_length_a 12.0910
_cell_length_b 8.7921
_cell_length_c 8.3457
_cell_angle_alpha 90.00
_cell_angle_beta 133.56
_cell_angle_gamma 90.00
loop_
_space_group_symop_operation_xyz
'x,y,z'
'-x,-y,-z'
'-x,y,-z'
'x,-y,z'
'x+1/2,y+1/2,z'
'-x+1/2,-y+1/2,-z'
'-x+1/2,y+1/2,-z'
'x+1/2,-y+1/2,z'
loop_
_atom_site_label
_atom_site_type_symbol
_atom_site_fract_x
_atom_site_fract_y
_atom_site_fract_z
Pm1 Pm 0.0525 0.0000 0.3451
Pm2 Pm 0.2491 0.3030 0.7920
Sm1 Sm 0.0526 0.5000 0.2583
Ir1 Ir 0.2493 0.5000 0.1264

# Pm4SmIr (PBE, relaxed)
# * final energy: -32.24 eV for the cell shown
# * total magnetization: 1.091 μB per formula unit
# * calculated formation energy: 1.3 kcal/mol of atoms
data_Pm4SmIr
_space_group_name_H-M_alt 'P 4/m m m'
_space_group_IT_number 123
_space_group_name_Hall '-P 4 2'
_cell_length_a 4.8764
_cell_length_b 4.8764
_cell_length_c 8.9277
_cell_angle_alpha 90.00
_cell_angle_beta 90.00
_cell_angle_gamma 90.00
loop_
_atom_site_label
_atom_site_type_symbol
_atom_site_fract_x
_atom_site_fract_y
_atom_site_fract_z
Pm1 Pm 0.0000 0.5000 0.1913
Sm1 Sm 0.0000 0.0000 0.5000
Ir1 Ir 0.5000 0.5000 0.0000

# PmSm2Ir3 (PBE, relaxed)
# * final energy: -85.72 eV for the cell shown
# * total magnetization: 0.000 μB per formula unit
# * calculated formation energy: -8.0 kcal/mol of atoms
data_PmSm2Ir3
_space_group_name_H-M_alt 'I m m m'
_space_group_IT_number 71
_space_group_name_Hall '-I 2 2'
_cell_length_a 4.0848
_cell_length_b 5.7986
_cell_length_c 12.3445
_cell_angle_alpha 90.00
_cell_angle_beta 90.00
_cell_angle_gamma 90.00
loop_
_atom_site_label
_atom_site_type_symbol
_atom_site_fract_x
_atom_site_fract_y
_atom_site_fract_z
Pm1 Pm 0.0000 0.0000 0.0000
Sm1 Sm 0.0000 0.0000 0.3337
Ir1 Ir 0.0000 0.5000 0.0000
Ir2 Ir 0.0000 0.5000 0.3320

# Pm3Sm2Ir2 (PBE, relaxed)
# * final energy: -90.10 eV for the cell shown
# * total magnetization: 0.000 μB per formula unit
# * calculated formation energy: -12.0 kcal/mol of atoms
data_Pm3Sm2Ir2
_space_group_name_H-M_alt 'C 1 2/m 1'
_space_group_IT_number 12
_cell_length_a 12.3628
_cell_length_b 3.9314
_cell_length_c 9.0963
_cell_angle_alpha 90.00
_cell_angle_beta 115.95
_cell_angle_gamma 90.00
loop_
_space_group_symop_operation_xyz
'x,y,z'
'-x,-y,-z'
'-x,y,-z'
'x,-y,z'
'x+1/2,y+1/2,z'
'-x+1/2,-y+1/2,-z'
'-x+1/2,y+1/2,-z'
'x+1/2,-y+1/2,z'
loop_
_atom_site_label
_atom_site_type_symbol
_atom_site_fract_x
_atom_site_fract_y
_atom_site_fract_z
Pm1 Pm 0.0000 0.0000 0.0000
Pm2 Pm 0.1171 0.0000 0.4277
Sm1 Sm 0.1699 0.5000 0.8095
Ir1 Ir 0.1804 0.5000 0.2409

# Pm3SmIr (PBE, relaxed)
# * final energy: -28.66 eV for the cell shown
# * energy relative to the lowest polymorph listed for this composition: 172 meV/atom
# * total magnetization: 0.428 μB per formula unit
# * calculated formation energy: -3.8 kcal/mol of atoms
data_Pm3SmIr
_space_group_name_H-M_alt 'P m -3 m'
_space_group_IT_number 221
_space_group_name_Hall '-P 4 2 3'
_cell_length_a 5.5861
_cell_length_b 5.5861
_cell_length_c 5.5861
_cell_angle_alpha 90.00
_cell_angle_beta 90.00
_cell_angle_gamma 90.00
loop_
_atom_site_label
_atom_site_type_symbol
_atom_site_fract_x
_atom_site_fract_y
_atom_site_fract_z
Pm1 Pm 0.0000 0.0000 0.5000
Sm1 Sm 0.5000 0.5000 0.5000
Ir1 Ir 0.0000 0.0000 0.0000

# Pm2Sm5Ir4 (PBE, relaxed)
# * final energy: -144.47 eV for the cell shown
# * total magnetization: 0.000 μB per formula unit
# * calculated formation energy: -7.7 kcal/mol of atoms
data_Pm2Sm5Ir4
_space_group_name_H-M_alt 'C 1 2/m 1'
_space_group_IT_number 12
_cell_length_a 24.6179
_cell_length_b 3.7785
_cell_length_c 6.9960
_cell_angle_alpha 90.00
_cell_angle_beta 93.71
_cell_angle_gamma 90.00
loop_
_space_group_symop_operation_xyz
'x,y,z'
'-x,-y,-z'
'-x,y,-z'
'x,-y,z'
'x+1/2,y+1/2,z'
'-x+1/2,-y+1/2,-z'
'-x+1/2,y+1/2,-z'
'x+1/2,-y+1/2,z'
loop_
_atom_site_label
_atom_site_type_symbol
_atom_site_fract_x
_atom_site_fract_y
_atom_site_fract_z
Pm1 Pm 0.0855 0.0000 0.1488
Sm1 Sm 0.0000 0.5000 0.5000
Sm2 Sm 0.1334 0.0000 0.6890
Sm3 Sm 0.2313 0.0000 0.2087
Ir1 Ir 0.0269 0.0000 0.7971
Ir2 Ir 0.1682 0.5000 0.9847

# PmSm2Ir (PBE, relaxed)
# * final energy: -72.67 eV for the cell shown
# * energy relative to the lowest polymorph listed for this composition: 192 meV/atom
# * total magnetization: 0.000 μB per formula unit
# * calculated formation energy: -6.8 kcal/mol of atoms
data_PmSm2Ir
_space_group_name_H-M_alt 'R 3 m'
_space_group_IT_number 160
_space_group_name_Hall 'R 3 -2"'
_cell_length_a 4.0300
_cell_length_b 4.0300
_cell_length_c 27.4069
_cell_angle_alpha 90.00
_cell_angle_beta 90.00
_cell_angle_gamma 120.00
loop_
_atom_site_label
_atom_site_type_symbol
_atom_site_fract_x
_atom_site_fract_y
_atom_site_fract_z
Pm1 Pm 0.0000 0.0000 0.0000
Sm1 Sm 0.0000 0.0000 0.5552
Sm2 Sm 0.0000 0.0000 0.7745
Ir1 Ir 0.0000 0.0000 0.1648

# Pm2SmIr2 (PBE, relaxed)
# * final energy: -138.09 eV for the cell shown
# * energy relative to the lowest polymorph listed for this composition: 100 meV/atom
# * total magnetization: 0.000 μB per formula unit
# * calculated formation energy: -11.9 kcal/mol of atoms
data_Pm2SmIr2
_space_group_name_H-M_alt 'C m c 21'
_space_group_IT_number 36
_cell_length_a 4.0637
_cell_length_b 17.2915
_cell_length_c 7.4665
_cell_angle_alpha 90.00
_cell_angle_beta 90.00
_cell_angle_gamma 90.00
loop_
_space_group_symop_operation_xyz
'x,y,z'
'-x,-y,z+1/2'
'-x,y,z'
'x,-y,z+1/2'
'x+1/2,y+1/2,z'
'-x+1/2,-y+1/2,z+1/2'
'-x+1/2,y+1/2,z'
'x+1/2,-y+1/2,z+1/2'
loop_
_atom_site_label
_atom_site_type_symbol
_atom_site_fract_x
_atom_site_fract_y
_atom_site_fract_z
Pm1 Pm 0.0000 0.0320 0.0000
Pm2 Pm 0.0000 0.1896 0.7226
Sm1 Sm 0.0000 0.3800 0.8339
Ir1 Ir 0.0000 0.1931 0.1295
Ir2 Ir 0.0000 0.4477 0.1991

- The highest final energy belongs to which entry?
  number 5

- Which of these has the lowest calculated formation energy?
  Pm3Sm2Ir2

- Which of these has the lowest final energy?
  Pm2Sm5Ir4